Entry 1:
Material: TaFe9Re2
Method: DFT, PBE
State: optimized geometry

a = 4.6757 Å, b = 4.6757 Å, c = 8.2068 Å
α = 73.45°, β = 73.45°, γ = 60.00°
Last column: nearest neighbours and their distance in Å.
Fractional positions:
Ta 0.0000 0.0000 0.0000  6 Fe 2.70
Fe 0.6664 0.6664 0.0009  6 Fe 2.41-2.42
Fe 0.3336 0.3336 0.9991  6 Fe 2.41-2.42
Fe 0.5000 0.5000 0.5000  6 Fe 2.32
Fe 0.4117 0.4117 0.2582  7 Fe 2.31-2.42
Fe 0.9185 0.4117 0.2582  7 Fe 2.31-2.42
Fe 0.4117 0.9185 0.2582  7 Fe 2.31-2.42
Fe 0.5883 0.5883 0.7418  7 Fe 2.31-2.42
Fe 0.5883 0.0815 0.7418  7 Fe 2.31-2.42
Fe 0.0815 0.5883 0.7418  7 Fe 2.31-2.42
Re 0.8541 0.8541 0.4378  12 Fe 2.71-2.74, 3 Re 2.87
Re 0.1459 0.1459 0.5622  12 Fe 2.71-2.74, 3 Re 2.87

Output
- final energy (eV per atom) = -9.36
- space group = R-3m (166)

=====

Entry 2:
Material: La3PrRh2
Method: DFT, PBE
State: optimized geometry

a = 7.0584 Å, b = 7.5391 Å, c = 7.8736 Å
α = 105.16°, β = 90.00°, γ = 117.91°
Last column: nearest neighbours and their distance in Å.
Fractional positions:
La 0.2655 0.0000 0.7500  4 Rh 3.03
La 0.7345 0.0000 0.2500  4 Rh 3.03
La 0.7793 0.5544 0.8886  2 Rh 2.76
La 0.2249 0.4456 0.6114  2 Rh 2.76
La 0.7751 0.5544 0.3886  2 Rh 2.76
La 0.2207 0.4456 0.1114  2 Rh 2.76
Pr 0.2536 0.0000 0.2500  4 Rh 3.07-3.08, 1 La 3.39
Pr 0.7464 0.0000 0.7500  4 Rh 3.07-3.08, 1 La 3.39
Rh 0.3745 0.7490 0.4374  4 La 2.76-3.03, 2 Pr 3.07-3.08
Rh 0.3746 0.7490 0.9374  4 La 2.76-3.03, 2 Pr 3.07-3.08
Rh 0.6254 0.2510 0.0626  4 La 2.76-3.03, 2 Pr 3.07-3.08
Rh 0.6255 0.2510 0.5626  4 La 2.76-3.03, 2 Pr 3.07-3.08

Output
- final energy (eV per atom) = -6.25
- space group = C2/c (15)
- E above lowest polymorph (meV per atom) = 0.0

=====

Entry 3:
Material: Ba2TcAg
Method: DFT, PBE
State: optimized geometry

a = 4.7882 Å, b = 4.8254 Å, c = 6.4195 Å
α = 67.95°, β = 90.00°, γ = 90.00°
Last column: nearest neighbours and their distance in Å.
Fractional positions:
Ag 0.5000 0.5704 0.7340  2 Tc 2.72
Ba 0.0000 0.9804 0.9141  3 Tc 3.37-3.59, 4 Ag 3.56
Ba 0.5000 0.2700 0.3349  3 Ag 3.38-3.58, 4 Tc 3.57
Tc 0.0000 0.6792 0.5170  2 Ag 2.72

Output
- final energy (eV per atom) = -3.77
- space group = Amm2 (38)
- E above lowest polymorph (meV per atom) = 32.6

=====

Entry 4:
Material: Ir2PdRu
Method: DFT, PBE
State: optimized geometry

a = 2.7332 Å, b = 2.7332 Å, c = 9.1219 Å
α = 81.38°, β = 81.38°, γ = 60.00°
Last column: nearest neighbours and their distance in Å.
Fractional positions:
Ru 0.0000 0.0000 0.0000  6 Ir 2.68, 6 Ru 2.73
Ir 0.7471 0.7471 0.7586  3 Ru 2.68, 6 Ir 2.73, 3 Pd 2.81
Ir 0.2529 0.2529 0.2414  3 Ru 2.68, 6 Ir 2.73, 3 Pd 2.81
Pd 0.5000 0.5000 0.5000  6 Pd 2.73, 6 Ir 2.81

Output
- final energy (eV per atom) = -8.04
- space group = R-3m (166)
- E above lowest polymorph (meV per atom) = 0.0

=====

Entry 5:
Material: BaLaRe2
Method: DFT, PBE
State: optimized geometry

a = 6.1199 Å, b = 6.1199 Å, c = 2.9399 Å
α = 90.00°, β = 90.00°, γ = 123.84°
Last column: nearest neighbours and their distance in Å.
Fractional positions:
Re 0.0000 0.0000 0.0000  4 Re 2.88-2.94
Re 0.5000 0.5000 0.0000  4 Re 2.88-2.94
Ba 0.5000 0.0000 0.5000  2 La 2.88, 2 Ba 2.94
La 0.0000 0.5000 0.5000  2 Ba 2.88, 2 La 2.94

Output
- final energy (eV per atom) = -6.62
- space group = Cmmm (65)
- E above lowest polymorph (meV per atom) = 1066.2

=====

Entry 6:
Material: TlAgGeHSe
Method: DFT, PBE
State: optimized geometry

a = 3.5833 Å, b = 4.2294 Å, c = 7.4213 Å
α = 84.78°, β = 89.77°, γ = 85.14°
Last column: nearest neighbours and their distance in Å.
Fractional positions:
Tl 0.5970 0.8724 0.1205  3 Ge 2.89-3.07, 2 Ag 2.99-3.01
Ag 0.1290 0.5133 0.8859  2 Se 2.67-2.89, 1 Tl 2.99
Ge 0.0917 0.3200 0.2935  1 Se 2.69, 2 Tl 2.89-3.00
H 0.5233 0.9718 0.6236  1 Se 1.50
Se 0.1184 0.0863 0.6424  1 H 1.50

Output
- final energy (eV per atom) = -3.14
- space group = P1 (1)
- E above lowest polymorph (meV per atom) = 194.2

=====

Entry 7:
Material: NdSm2TmTe6
Method: DFT, PBE
State: optimized geometry

a = 7.8243 Å, b = 7.8243 Å, c = 8.4194 Å
α = 62.31°, β = 62.31°, γ = 60.00°
Last column: nearest neighbours and their distance in Å.
Fractional positions:
Nd 0.8212 0.8212 0.5363  6 Te 3.14-3.21
Sm 0.5123 0.5123 0.4633  6 Te 3.13-3.17
Sm 0.0102 0.0102 0.9693  6 Te 3.11-3.18
Tm 0.3237 0.3237 0.0288  6 Te 3.05-3.07
Te 0.5951 0.2277 0.2494  1 Tm 3.05, 2 Sm 3.13-3.18, 1 Nd 3.21
Te 0.2277 0.9278 0.2494  1 Tm 3.05, 2 Sm 3.13-3.18, 1 Nd 3.21
Te 0.9278 0.5951 0.2494  1 Tm 3.05, 2 Sm 3.13-3.18, 1 Nd 3.21
Te 0.4140 0.7200 0.7564  1 Tm 3.07, 2 Sm 3.11-3.17, 1 Nd 3.14
Te 0.7201 0.1095 0.7564  1 Tm 3.07, 2 Sm 3.11-3.17, 1 Nd 3.14
Te 0.1096 0.4140 0.7564  1 Tm 3.07, 2 Sm 3.11-3.17, 1 Nd 3.14

Output
- final energy (eV per atom) = -5.12
- space group = R3 (146)
- formation energy without anion corrections (meV per atom) = -1364

=====

Entry 8:
Material: AcPrSm4Ho2
Method: DFT, PBE
State: optimized geometry

a = 5.1654 Å, b = 6.3386 Å, c = 9.7005 Å
α = 89.81°, β = 74.56°, γ = 65.96°
Last column: nearest neighbours and their distance in Å.
Fractional positions:
Ac 0.5000 0.5000 0.5000  8 Sm 3.67-3.69, 4 Ho 3.70
Pr 0.0000 0.0000 0.0000  4 Ho 3.63, 8 Sm 3.63-3.66
Sm 0.1227 0.1255 0.6290  1 Pr 3.63, 4 Ho 3.64-3.73, 4 Sm 3.66-3.71, 3 Ac 3.67-3.68
Sm 0.3732 0.3760 0.8776  4 Ho 3.61-3.67, 4 Sm 3.63-3.66, 3 Pr 3.65-3.66, 1 Ac 3.69
Sm 0.8773 0.8745 0.3710  1 Pr 3.63, 4 Ho 3.64-3.73, 4 Sm 3.66-3.71, 3 Ac 3.67-3.68
Sm 0.6268 0.6240 0.1224  4 Ho 3.61-3.67, 4 Sm 3.63-3.66, 3 Pr 3.65-3.66, 1 Ac 3.69
Ho 0.7446 0.7562 0.7546  8 Sm 3.61-3.73, 2 Pr 3.63, 2 Ac 3.70
Ho 0.2554 0.2438 0.2454  8 Sm 3.61-3.73, 2 Pr 3.63, 2 Ac 3.70

Output
- final energy (eV per atom) = -4.58
- space group = C2/m (12)

=====

Entry 9:
Material: Ta2TlRe
Method: DFT, PBE
State: optimized geometry

a = 5.0831 Å, b = 5.0831 Å, c = 5.0831 Å
α = 131.48°, β = 131.48°, γ = 71.04°
Last column: nearest neighbours and their distance in Å.
Fractional positions:
Re 0.7500 0.2500 0.5000  8 Ta 2.94, 4 Tl 2.95
Ta 0.0000 0.0000 0.0000  4 Re 2.94, 4 Tl 2.94, 4 Ta 2.95
Ta 0.5000 0.5000 0.0000  4 Tl 2.94, 4 Re 2.94, 4 Ta 2.95
Tl 0.2500 0.7500 0.5000  8 Ta 2.94, 4 Re 2.95

Output
- final energy (eV per atom) = -9.21
- space group = I4/mmm (139)
- E above lowest polymorph (meV per atom) = 213.1

=====

Entry 10:
Material: K5Fe
Method: DFT, PBE
State: optimized geometry

a = 9.4716 Å, b = 9.4716 Å, c = 6.3953 Å
α = 90.00°, β = 90.00°, γ = 144.16°
Last column: nearest neighbours and their distance in Å.
Fractional positions:
K 0.3453 0.6547 0.5000  8 K 4.03-4.51, 2 Fe 4.24
K 0.1412 0.8588 0.0000  2 Fe 3.87, 6 K 4.09-4.33
K 0.0000 0.0000 0.5000  8 K 4.03-4.09, 4 Fe 4.33
K 0.8588 0.1412 0.0000  2 Fe 3.87, 6 K 4.09-4.33
K 0.6547 0.3453 0.5000  8 K 4.03-4.51, 2 Fe 4.24
Fe 0.5000 0.5000 0.0000  12 K 3.87-4.33

Output
- final energy (eV per atom) = -1.77
- space group = Cmmm (65)
- E above lowest polymorph (meV per atom) = 0.0

=====

Entry 11:
Material: PtAuSe2
Method: DFT, PBE
State: optimized geometry

a = 6.4242 Å, b = 6.4242 Å, c = 6.4242 Å
α = 149.57°, β = 142.56°, γ = 48.99°
Last column: nearest neighbours and their distance in Å.
Fractional positions:
Au 0.4318 0.4318 0.0000  2 Se 2.71, 2 Pt 2.96
Pt 0.2239 0.7239 0.5000  6 Se 2.52-2.75
Se 0.0635 0.0635 0.0000  2 Pt 2.52
Se 0.7809 0.2809 0.5000  2 Au 2.71, 4 Pt 2.75

Output
- final energy (eV per atom) = -3.88
- space group = Imm2 (44)
- formation energy without anion corrections (meV per atom) = 189

=====

Entry 12:
Material: Tb2Sm3Cd6
Method: DFT, PBE
State: optimized geometry

a = 4.1295 Å, b = 4.1295 Å, c = 19.2778 Å
α = 96.15°, β = 96.15°, γ = 90.00°
Last column: nearest neighbours and their distance in Å.
Fractional positions:
Tb 0.3665 0.3665 0.7330  5 Cd 3.27-3.55, 4 Sm 3.58
Tb 0.6335 0.6335 0.2670  5 Cd 3.27-3.55, 4 Sm 3.58
Sm 0.0000 0.0000 0.0000  8 Cd 3.28
Sm 0.8123 0.8123 0.6247  5 Cd 3.27-3.28, 4 Tb 3.58
Sm 0.1877 0.1877 0.3753  5 Cd 3.27-3.28, 4 Tb 3.58
Cd 0.0668 0.5668 0.1336  4 Cd 2.92
Cd 0.5668 0.0668 0.1336  4 Cd 2.92
Cd 0.9332 0.4332 0.8664  4 Cd 2.92
Cd 0.4332 0.9332 0.8664  4 Cd 2.92
Cd 0.7266 0.7266 0.4533  5 Sm 3.27-3.28, 4 Cd 3.42, 1 Tb 3.55
Cd 0.2734 0.2734 0.5467  5 Sm 3.27-3.28, 4 Cd 3.42, 1 Tb 3.55

Output
- final energy (eV per atom) = -2.63
- space group = I4/mmm (139)

=====

Entry 13:
Material: Pm6Ni2Pd
Method: DFT, PBE
State: optimized geometry

a = 8.4993 Å, b = 8.4993 Å, c = 8.4993 Å
α = 106.73°, β = 108.13°, γ = 113.64°
Last column: nearest neighbours and their distance in Å.
Fractional positions:
Pm 0.5238 0.7016 0.8222  2 Ni 2.90
Pm 0.4762 0.2984 0.1778  2 Ni 2.90
Pm 0.1206 0.2984 0.8222  2 Ni 2.90
Pm 0.8794 0.7016 0.1778  2 Ni 2.90
Pm 0.8029 0.7844 0.5873  1 Ni 2.76, 1 Pd 2.94
Pm 0.1971 0.2156 0.4127  1 Ni 2.76, 1 Pd 2.94
Pm 0.1971 0.7844 0.9815  1 Ni 2.76, 1 Pd 2.94
Pm 0.8029 0.2156 0.0185  1 Ni 2.76, 1 Pd 2.94
Pm 0.7056 0.3765 0.6710  3 Ni 2.78-2.91
Pm 0.2944 0.6235 0.3290  3 Ni 2.78-2.91
Pm 0.2944 0.9654 0.6710  3 Ni 2.78-2.91
Pm 0.7056 0.0346 0.3290  3 Ni 2.78-2.91
Ni 0.5000 0.3704 0.8704  1 Ni 2.63, 6 Pm 2.78-2.90
Ni 0.5000 0.6296 0.1296  1 Ni 2.63, 6 Pm 2.78-2.90
Ni 0.6336 0.0000 0.6336  1 Ni 2.67, 6 Pm 2.76-2.91
Ni 0.3664 0.0000 0.3664  1 Ni 2.67, 6 Pm 2.76-2.91
Pd 0.0000 0.5000 0.5000  8 Pm 3.24-3.49
Pd 0.0000 0.0000 0.0000  4 Pm 2.94

Output
- final energy (eV per atom) = -5.35
- space group = Immm (71)

=====

Entry 14:
Material: La4Ho3Cd
Method: DFT, PBE
State: optimized geometry

a = 3.7385 Å, b = 3.7385 Å, c = 19.0739 Å
α = 90.00°, β = 90.00°, γ = 90.00°
Last column: nearest neighbours and their distance in Å.
Fractional positions:
Cd 0.5000 0.5000 0.0000  8 La 3.40, 4 Cd 3.74
Ho 0.5000 0.5000 0.2435  8 La 3.60-3.65, 4 Ho 3.74
Ho 0.5000 0.5000 0.5000  8 La 3.60, 4 Ho 3.74
Ho 0.5000 0.5000 0.7565  8 La 3.60-3.65, 4 Ho 3.74
La 0.0000 0.0000 0.8883  4 Cd 3.40, 4 Ho 3.65, 4 La 3.74
La 0.0000 0.0000 0.1117  4 Cd 3.40, 4 Ho 3.65, 4 La 3.74
La 0.0000 0.0000 0.3719  8 Ho 3.60, 4 La 3.74
La 0.0000 0.0000 0.6281  8 Ho 3.60, 4 La 3.74

Output
- final energy (eV per atom) = -4.35
- space group = P4/mmm (123)

=====

Entry 15:
Material: SbPIr2
Method: DFT, PBE
State: optimized geometry

a = 3.9954 Å, b = 3.9954 Å, c = 5.7913 Å
α = 90.00°, β = 90.00°, γ = 90.00°
Last column: nearest neighbours and their distance in Å.
Fractional positions:
Sb 0.5000 0.5000 0.8480  4 Ir 2.66
P 0.0000 0.0000 0.3545  4 Ir 2.32
Ir 0.0000 0.5000 0.1506  2 P 2.32
Ir 0.5000 0.0000 0.1506  2 P 2.32

Output
- final energy (eV per atom) = -7.09
- space group = P4mm (99)
- E above lowest polymorph (meV per atom) = 0.0
- formation energy without anion corrections (meV per atom) = -274

=====

Entry 16:
Material: TlNiBr6
Method: DFT, PBE
State: optimized geometry

a = 6.7548 Å, b = 7.8280 Å, c = 6.9720 Å
α = 106.33°, β = 99.19°, γ = 125.35°
Last column: nearest neighbours and their distance in Å.
Fractional positions:
Tl 0.0000 0.0000 0.0000  6 Br 2.74-2.88
Ni 0.0000 0.5000 0.0000  4 Br 2.37
Br 0.8600 0.1525 0.7156  1 Ni 2.37
Br 0.1443 0.4369 0.2844  1 Ni 2.37
Br 0.8557 0.5631 0.7156  1 Ni 2.37
Br 0.1400 0.8475 0.2844  1 Ni 2.37
Br 0.5032 0.7533 0.0000  1 Tl 2.74, 1 Ni 2.77
Br 0.4968 0.2467 0.0000  1 Tl 2.74, 1 Ni 2.77

Output
- final energy (eV per atom) = -2.54
- space group = C2/m (12)
- formation energy without anion corrections (meV per atom) = -262

=====

Entry 17:
Material: MnAuC3
Method: DFT, PBE
State: optimized geometry

a = 3.8199 Å, b = 3.8199 Å, c = 3.8199 Å
α = 90.00°, β = 90.00°, γ = 90.00°
Last column: nearest neighbours and their distance in Å.
Fractional positions:
C 0.0000 0.5000 0.0000  2 Mn 1.91
C 0.0000 0.0000 0.5000  2 Mn 1.91
C 0.5000 0.0000 0.0000  2 Mn 1.91
Mn 0.0000 0.0000 0.0000  6 C 1.91
Au 0.5000 0.5000 0.5000  12 C 2.70

Output
- final energy (eV per atom) = -6.10
- space group = Pm-3m (221)

=====

Entry 18:
Material: Zn3Pd8Au2
Method: DFT, PBE
State: optimized geometry

a = 4.4777 Å, b = 6.9145 Å, c = 7.4702 Å
α = 113.99°, β = 90.00°, γ = 90.00°
Last column: nearest neighbours and their distance in Å.
Fractional positions:
Zn 0.5000 0.0000 0.0000  8 Pd 2.59-2.66
Zn 0.0000 0.2843 0.9331  7 Pd 2.57-2.68, 1 Zn 2.73
Zn 0.0000 0.7157 0.0669  7 Pd 2.57-2.68, 1 Zn 2.73
Pd 0.0000 0.5873 0.3450  1 Zn 2.57, 2 Au 2.71, 2 Pd 2.73
Pd 0.0000 0.4127 0.6550  1 Zn 2.57, 2 Au 2.71, 2 Pd 2.73
Pd 0.0000 0.1277 0.2074  4 Zn 2.60-2.68, 2 Au 2.75, 2 Pd 2.88-2.92
Pd 0.0000 0.8723 0.7926  4 Zn 2.60-2.68, 2 Au 2.75, 2 Pd 2.88-2.92
Pd 0.5000 0.5901 0.8688  3 Zn 2.59-2.63, 5 Pd 2.72-2.84, 1 Au 2.73
Pd 0.5000 0.1443 0.7250  3 Zn 2.62-2.67, 2 Au 2.71-2.72, 2 Pd 2.82-2.84
Pd 0.5000 0.8557 0.2750  3 Zn 2.62-2.67, 2 Au 2.71-2.72, 2 Pd 2.82-2.84
Pd 0.5000 0.4099 0.1312  3 Zn 2.59-2.63, 5 Pd 2.72-2.84, 1 Au 2.73
Au 0.5000 0.2843 0.4334  7 Pd 2.71-2.75, 1 Au 2.73, 1 Zn 3.03
Au 0.5000 0.7157 0.5666  7 Pd 2.71-2.75, 1 Au 2.73, 1 Zn 3.03

Output
- final energy (eV per atom) = -4.20
- space group = P2/m (10)
- E above lowest polymorph (meV per atom) = 0.0

=====

Entry 19:
Material: Li4NdSm
Method: DFT, PBE
State: optimized geometry

a = 5.9407 Å, b = 5.9407 Å, c = 5.9407 Å
α = 60.00°, β = 60.00°, γ = 60.00°
Last column: nearest neighbours and their distance in Å.
Fractional positions:
Nd 0.2500 0.2500 0.2500  12 Li 3.48, 4 Sm 3.64
Sm 0.0000 0.0000 0.0000  12 Li 3.48, 4 Nd 3.64
Li 0.6252 0.6252 0.1245  6 Li 2.97
Li 0.6252 0.1245 0.6252  6 Li 2.97
Li 0.6252 0.6252 0.6252  6 Li 2.97
Li 0.1245 0.6252 0.6252  6 Li 2.97

Output
- final energy (eV per atom) = -2.75
- space group = F-43m (216)

=====

Entry 20:
Material: SiTcW2
Method: DFT, PBE
State: optimized geometry

a = 2.7666 Å, b = 2.7666 Å, c = 8.2146 Å
α = 90.00°, β = 90.00°, γ = 107.40°
Last column: nearest neighbours and their distance in Å.
Fractional positions:
Si 0.5000 0.5000 0.2500  4 W 2.56, 4 Si 2.77
Tc 0.5000 0.5000 0.7500  4 W 2.69, 4 Tc 2.77
W 0.0000 0.0000 0.0101  2 Si 2.56, 2 Tc 2.69, 4 W 2.77
W 0.0000 0.0000 0.4899  2 Si 2.56, 2 Tc 2.69, 4 W 2.77

Output
- final energy (eV per atom) = -10.30
- space group = Cmmm (65)
- formation energy without anion corrections (meV per atom) = 128